This record from the Alexandria database describes a relaxed HgTe crystal. The functional is PBE.

Calculated volume (Å³/atom): 30.3
Formation energy from raw total energies (meV per atom): -0.7
DOS at the Fermi energy (states/eV/atom): 0.42
Raw total energy (eV per cell): -13.8
ρ (kg/m3): 8985
Magnetization (μB per cell): 0.0

abc: 5.9072 6.9401 5.9182
angles: 90.00 90.00 90.00
With the nearest neighbours (Å) after each atom.
Space group Cmcm (No. 63)
Asymmetric unit:
Hg 0.0000 0.1762 0.2500 (multiplicity 4)  5 Te 2.98-3.07
Te 0.0000 0.2659 0.7500 (multiplicity 4)  5 Hg 2.98-3.07